# 1
VASP calculation (GGA-PBEsol) on Co2PPtRh after structural relaxation.

Computed properties:
density of states at the Fermi level	7.50	states/eV/cell
DFT total energy	-5.628	eV/atom

Cell lengths 4.4546, 4.4546, 4.7730 Å; angles 90.00, 90.00, 90.00 degrees
Last column: magnetic moment on the atom in μB.
Element x y z (fractional)
Co1 0.0000 0.5000 0.0000  2.07
Co2 0.5000 0.0000 0.0000  2.07
Rh1 0.0000 0.0000 0.5000  0.57
P1 0.5000 0.5000 0.5000  0.10
Pt1 0.0000 0.0000 0.0000  0.57

---

# 2
VASP calculation (GGA-PBEsol) on CsSc2W after structural relaxation.

Computed properties:
density of states at the Fermi level	4.70	states/eV/cell
DFT total energy	-5.804	eV/atom

Cell lengths 5.0138, 5.0138, 5.0138 Å; angles 60.00, 60.00, 60.00 degrees
Element x y z (fractional)
Sc1 0.2500 0.2500 0.2500
Sc2 0.7500 0.7500 0.7500
Cs1 0.0000 0.0000 0.0000
W1 0.5000 0.5000 0.5000

---

# 3
VASP calculation (GGA-PBEsol) on Ba2Zr2N after structural relaxation.

Computed properties:
density of states at the Fermi level	3.42	states/eV/cell
raw formation energy	1.7763	eV/atom
DFT total energy	-4.425	eV/atom

Cell lengths 4.1306, 4.1306, 8.7067 Å; angles 103.72, 103.72, 90.00 degrees
Element x y z (fractional)
N1 0.0000 0.0000 0.0000
Zr1 0.5690 0.5690 0.1379
Zr2 0.4310 0.4310 0.8621
Ba1 0.7500 0.2500 0.5000
Ba2 0.2500 0.7500 0.5000

---

density of states at the Fermi level of number 3 (Ba2Zr2N)?
3.42 states/eV/cell